--- a ---
CaHoZnCu | GGA-PBE | optimized geometry

The structure in POSCAR format:
```
CaHoZnCu
1.0
-2.1171 0.5136 4.5128
2.7984 -0.3860 4.1390
0.9547 4.0672 2.7673
Ho Ca Zn Cu
1 1 1 1
Direct
0.0000 0.0000 0.0000
0.5000 0.5000 0.5000
0.7500 0.7500 0.7500
0.2500 0.2500 0.2500
```

Values from the calculation:
Its symmetry is F-43m. As for the crystal system: cubic.


--- b ---
CaHoZnCu | GGA-PBE | optimized geometry

The structure in POSCAR format:
```
CaHoZnCu
1.0
3.5537 0.0000 0.0000
0.0000 3.5537 0.0000
0.0000 0.0000 7.1497
Ho Cu Ca Zn
1 1 1 1
Direct
0.5000 0.5000 0.6182
0.0000 0.0000 0.8274
0.5000 0.5000 0.1026
0.0000 0.0000 0.3797
```

Values from the calculation:
Its symmetry is P4mm. As for the crystal system: tetragonal.


Consider the structures shown above. The most stable of them is b.